# ZrCr3Pd

Crystalline ZrCr3Pd at its relaxed geometry (PBE, the Alexandria database).

Summary:
Relative energy among the computed polymorphs (meV/atom): 0
Energy (eV per formula unit): -36.5

a = 4.7306 Å, b = 4.7306 Å, c = 4.7306 Å
α = 90.00°, β = 90.00°, γ = 90.00°
Each line ends with the local moment (μB).
Sites, in units of the cell vectors:
Cr  0.0000  0.5000  0.0000  3.31
Cr  0.5000  0.0000  0.0000  3.19
Pd  0.0000  0.0000  0.0000  0.35
Cr  0.0000  0.0000  0.5000  3.37
Zr  0.5000  0.5000  0.5000  -0.42